Entry from Alexandria: a relaxed KLa2Cd crystal (PBE-GGA).

Results
Formation enthalpy at 0 K in eV per atom: 0.095

Unit cell a=6.689 b=6.689 c=6.289 alpha=103.89 beta=103.89 gamma=31.97
Sites, in units of the cell vectors:
K1 0.000 0.000 0.000
La1 0.226 0.226 0.704
La2 0.774 0.774 0.296
Cd1 0.500 0.500 0.500


Entry from Alexandria: a relaxed BC2 crystal (PBE-GGA).

Results
Formation enthalpy at 0 K in eV per atom: 0.374
Offset from the most stable computed form in eV per atom: 0.134

Unit cell a=5.977 b=5.977 c=5.311 alpha=103.29 beta=103.29 gamma=24.77
Sites, in units of the cell vectors:
B1 0.000 0.000 0.000
B2 0.089 0.089 0.394
B3 0.400 0.400 0.012
B4 0.741 0.741 0.172
C1 0.090 0.090 0.827
C2 0.325 0.325 0.707
C3 0.333 0.333 0.235
C4 0.409 0.409 0.513
C5 0.661 0.661 0.388
C6 0.666 0.666 0.868
C7 0.747 0.747 0.671
C8 0.988 0.988 0.554


Entry from Alexandria: a relaxed Pm2Dy3ScSe6 crystal (PBE-GGA).

Results
E_form (uncorrected) in eV per atom: -1.739

Unit cell a=9.125 b=9.125 c=8.217 alpha=102.81 beta=102.81 gamma=25.79
Sites, in units of the cell vectors:
Pm1 0.168 0.168 0.335
Pm2 0.832 0.832 0.665
Dy1 0.172 0.172 0.836
Dy2 0.500 0.500 0.500
Dy3 0.828 0.828 0.164
Sc1 0.500 0.500 0.000
Se1 0.004 0.004 0.762
Se2 0.337 0.337 0.410
Se3 0.340 0.340 0.927
Se4 0.660 0.660 0.073
Se5 0.663 0.663 0.590
Se6 0.996 0.996 0.238


In eV per atom, the E_tot values for the records above are, in order, -2.8718; -8.0010; -5.9514.
In A^3/atom, the volume values for the records above are, in order, 36.1; 6.4; 24.2.
In Bohr magnetons per cell, the M_tot values for the records above are, in order, 0.0; 0.0; 0.0.